Entry from the Alexandria database: K4CoRh3O8 after structural relaxation (PBE with a Hubbard U).

Lattice parameters (Å, degrees): 6.9037 6.9037 6.9037 55.78 55.78 55.78
With the nearest neighbours (Å) after each atom.
Element x y z (fractional)
K 0.0000 0.0000 0.0000  6 O 2.64
K 0.0000 0.5000 0.5000  6 O 2.67-2.69
K 0.5000 0.0000 0.5000  6 O 2.67-2.69
K 0.5000 0.5000 0.0000  6 O 2.67-2.69
Co 0.5000 0.5000 0.5000  6 O 2.16
Rh 0.0000 0.0000 0.5000  6 O 2.09-2.11
Rh 0.0000 0.5000 0.0000  6 O 2.09-2.11
Rh 0.5000 0.0000 0.0000  6 O 2.09-2.11
O 0.2147 0.7280 0.7280  2 Rh 2.09, 1 Co 2.16
O 0.2233 0.2233 0.2233  3 Rh 2.11
O 0.2720 0.2720 0.7853  2 Rh 2.09, 1 Co 2.16
O 0.2720 0.7853 0.2720  2 Rh 2.09, 1 Co 2.16
O 0.7280 0.2147 0.7280  2 Rh 2.09, 1 Co 2.16
O 0.7280 0.7280 0.2147  2 Rh 2.09, 1 Co 2.16
O 0.7767 0.7767 0.7767  3 Rh 2.11
O 0.7853 0.2720 0.2720  2 Rh 2.09, 1 Co 2.16

Results
VASP energy   -5.520 eV per atom
DOS at the Fermi energy   8.3 states/eV per cell
Calculated volume   13.119 Å³ per atom
Space-group type   R-3m